Arrangement 1

The following is a DFT calculation (PBE) of a relaxed structure of Sm5ZnPt2.

Calculated values
Space-group type   Pbam (55)

Cell: 6.982 12.956 4.687 Å, 90.00 90.00 90.00°
Element x y z (fractional)
Sm (0.000, 0.000, 0.000)
Sm (0.166, 0.393, 0.500)
Sm (0.171, 0.714, 0.000)
Sm (0.329, 0.214, 0.000)
Sm (0.334, 0.893, 0.500)
Sm (0.500, 0.500, 0.000)
Sm (0.666, 0.107, 0.500)
Sm (0.671, 0.786, 0.000)
Sm (0.829, 0.286, 0.000)
Sm (0.834, 0.607, 0.500)
Zn (0.000, 0.500, 0.000)
Zn (0.500, 0.000, 0.000)
Pt (0.056, 0.164, 0.500)
Pt (0.444, 0.664, 0.500)
Pt (0.556, 0.336, 0.500)
Pt (0.944, 0.836, 0.500)



Arrangement 2

The following is a DFT calculation (PBE) of a relaxed structure of Sm5ZnPt2.

Calculated values
Space-group type   Cmcm (63)

Cell: 6.558 6.558 14.244 Å, 90.00 90.00 128.51°
Element x y z (fractional)
Sm (0.066, 0.934, 0.613)
Sm (0.066, 0.934, 0.887)
Sm (0.316, 0.684, 0.250)
Sm (0.355, 0.645, 0.543)
Sm (0.355, 0.645, 0.957)
Sm (0.645, 0.355, 0.043)
Sm (0.645, 0.355, 0.457)
Sm (0.684, 0.316, 0.750)
Sm (0.934, 0.066, 0.113)
Sm (0.934, 0.066, 0.387)
Zn (0.285, 0.715, 0.750)
Zn (0.715, 0.285, 0.250)
Pt (0.170, 0.830, 0.081)
Pt (0.170, 0.830, 0.419)
Pt (0.830, 0.170, 0.581)
Pt (0.830, 0.170, 0.919)



Energy above the most stable structure, in kJ/mol of atoms: arrangement 1 0.0; arrangement 2 12.7